(1)
KBaLiHg2: optimized geometry, PBE-GGA.

a b c (Å): 6.458 7.489 6.458
angles (deg): 90.00 90.00 90.00
Positions (direct):
K 0.000 0.500 0.000
Li 0.500 0.500 0.500
Hg 0.000 0.000 0.500
Hg 0.500 0.000 0.000
Ba 0.000 0.000 0.000

The space-group type is No. 123. The energy comes out at -0.766 eV/atom. For the size of the total moment, the calculation gives 0.00 Bohr magnetons per cell.

***

(2)
KBa2LiHg: optimized geometry, PBE-GGA.

a b c (Å): 6.768 6.768 5.516
angles (deg): 90.00 90.00 90.00
Positions (direct):
K 0.500 0.500 0.500
Li 0.000 0.000 0.500
Hg 0.000 0.000 0.000
Ba 0.000 0.500 0.000
Ba 0.500 0.000 0.000

The space-group type is No. 123. The energy comes out at -1.523 eV/atom. For the size of the total moment, the calculation gives 0.00 Bohr magnetons per cell.

***

(3)
KBa2MgHg: optimized geometry, PBE-GGA.

a b c (Å): 6.746 6.746 5.528
angles (deg): 90.00 90.00 90.00
Positions (direct):
Mg 0.000 0.000 0.500
K 0.500 0.500 0.500
Hg 0.000 0.000 0.000
Ba 0.000 0.500 0.000
Ba 0.500 0.000 0.000

The space-group type is No. 123. The energy comes out at -1.440 eV/atom. For the size of the total moment, the calculation gives 0.00 Bohr magnetons per cell.

***

(4)
KBaNaHg: optimized geometry, PBE-GGA.

a b c (Å): 6.178 6.178 6.178
angles (deg): 60.00 60.00 60.00
Positions (direct):
Na 0.750 0.750 0.750
K 0.000 0.000 0.000
Hg 0.250 0.250 0.250
Ba 0.500 0.500 0.500

The space-group type is No. 216. The energy comes out at -1.283 eV/atom. For the size of the total moment, the calculation gives 0.00 Bohr magnetons per cell.

***

(5)
KBa2NaHg4: optimized geometry, PBE-GGA.

a b c (Å): 5.801 5.801 9.993
angles (deg): 73.13 73.13 60.00
Positions (direct):
K 0.000 0.000 0.000
Ba 0.752 0.752 0.743
Ba 0.248 0.248 0.257
Na 0.500 0.500 0.500
Hg 0.377 0.377 0.868
Hg 0.874 0.874 0.377
Hg 0.126 0.126 0.623
Hg 0.623 0.623 0.132

The space-group type is No. 166. The energy comes out at -1.296 eV/atom. For the size of the total moment, the calculation gives 0.00 Bohr magnetons per cell.

***

(6)
KBaNiHg2: optimized geometry, PBE-GGA.

a b c (Å): 5.352 5.352 5.498
angles (deg): 90.00 90.00 90.00
Positions (direct):
Ni 0.000 0.000 0.000
K 0.500 0.500 0.500
Hg 0.000 0.500 0.000
Hg 0.500 0.000 0.000
Ba 0.000 0.000 0.500

The space-group type is No. 123. The energy comes out at -1.981 eV/atom. For the size of the total moment, the calculation gives 0.00 Bohr magnetons per cell.

***

Number 1: ρ 3.107 g/cm3, formation enthalpy at 0 K 0.342 eV/atom. Number 2: ρ 3.426 g/cm3, formation enthalpy at 0 K -0.092 eV/atom. Number 3: ρ 3.555 g/cm3, formation enthalpy at 0 K -0.072 eV/atom. Number 4: ρ 3.984 g/cm3, formation enthalpy at 0 K -0.123 eV/atom. Number 5: ρ 6.893 g/cm3, formation enthalpy at 0 K -0.363 eV/atom. Number 6: ρ 6.710 g/cm3, formation enthalpy at 0 K -0.100 eV/atom.